Entry 1:
# LaDy3ErSc

A relaxed LaDy3ErSc crystal (PBE-GGA, Alexandria via LeMat-Bulk).

a = 4.968 Å, b = 14.959 Å, c = 10.036 Å
α = 90.00°, β = 90.00°, γ = 90.00°
Space group Cmcm (No. 63)
Symmetry-distinct sites (fractional):
La: 0.000 0.003 0.250 [4 per cell]
Dy: 0.000 0.168 0.000 [8 per cell]
Dy: 0.000 0.329 0.250 [4 per cell]
Er: 0.000 0.500 0.000 [4 per cell]
Sc: 0.000 0.330 0.750 [4 per cell]

V in Å³ per atom: 31.07
Electronic total energy in eV for the cell shown: -117.3



Entry 2:
# La4Dy2ErSc

A relaxed La4Dy2ErSc crystal (PBE-GGA, Alexandria via LeMat-Bulk).

a = 5.202 Å, b = 5.217 Å, c = 9.735 Å
α = 90.00°, β = 90.00°, γ = 90.00°
Space group Pmmm (No. 47)
Symmetry-distinct sites (fractional):
La: 0.000 0.000 0.245 [2 per cell]
La: 0.500 0.500 0.246 [2 per cell]
Dy: 0.000 0.500 0.000 [1 per cell]
Dy: 0.500 0.000 0.500 [1 per cell]
Er: 0.000 0.500 0.500 [1 per cell]
Sc: 0.500 0.000 0.000 [1 per cell]

V in Å³ per atom: 33.03
Electronic total energy in eV for the cell shown: -39.5



Entry 3:
# LaDyErSc

A relaxed LaDyErSc crystal (PBE-GGA, Alexandria via LeMat-Bulk).

a = 7.921 Å, b = 7.921 Å, c = 7.921 Å
α = 90.00°, β = 90.00°, γ = 90.00°
Space group F-43m (No. 216)
Symmetry-distinct sites (fractional):
La: 0.000 0.000 0.000 [4 per cell]
Dy: 0.000 0.000 0.500 [4 per cell]
Er: 0.250 0.250 0.750 [4 per cell]
Sc: 0.250 0.250 0.250 [4 per cell]

V in Å³ per atom: 31.06
Electronic total energy in eV for the cell shown: -80.1
Energy relative to the lowest polymorph listed for this composition in meV/atom: 9



Entry 4:
# LaDy6Er3Sc2

A relaxed LaDy6Er3Sc2 crystal (PBE-GGA, Alexandria via LeMat-Bulk).

a = 6.067 Å, b = 10.502 Å, c = 11.632 Å
α = 90.00°, β = 99.95°, γ = 90.00°
Space group C2/m (No. 12)
Symmetry-distinct sites (fractional):
La: 0.000 0.000 0.000 [2 per cell]
Dy: 0.247 0.500 0.249 [4 per cell]
Dy: 0.248 0.332 0.751 [8 per cell]
Er: 0.000 0.167 0.500 [4 per cell]
Er: 0.000 0.500 0.500 [2 per cell]
Sc: 0.000 0.333 0.000 [4 per cell]

V in Å³ per atom: 30.42
Electronic total energy in eV for the cell shown: -116.8



Entry 5:
# LaDy5ErSc2

A relaxed LaDy5ErSc2 crystal (PBE-GGA, Alexandria via LeMat-Bulk).

a = 5.601 Å, b = 21.648 Å, c = 9.295 Å
α = 90.00°, β = 90.00°, γ = 90.00°
Space group Cmc2_1 (No. 36)
Symmetry-distinct sites (fractional):
La: 0.000 0.184 0.000 [4 per cell]
Dy: 0.000 0.007 0.000 [4 per cell]
Dy: 0.000 0.266 0.685 [4 per cell]
Dy: 0.000 0.308 0.298 [4 per cell]
Dy: 0.000 0.392 0.970 [4 per cell]
Dy: 0.000 0.468 0.268 [4 per cell]
Er: 0.000 0.403 0.599 [4 per cell]
Sc: 0.000 0.113 0.693 [4 per cell]
Sc: 0.000 0.141 0.324 [4 per cell]

V in Å³ per atom: 31.31
Electronic total energy in eV for the cell shown: -174.5



Entry 6:
# La2Dy3Er6Sc

A relaxed La2Dy3Er6Sc crystal (PBE-GGA, Alexandria via LeMat-Bulk).

a = 6.121 Å, b = 10.599 Å, c = 11.715 Å
α = 90.00°, β = 100.00°, γ = 90.00°
Space group C2/m (No. 12)
Symmetry-distinct sites (fractional):
La: 0.000 0.166 0.000 [4 per cell]
Dy: 0.000 0.000 0.500 [2 per cell]
Dy: 0.000 0.334 0.500 [4 per cell]
Er: 0.246 0.500 0.747 [4 per cell]
Er: 0.249 0.335 0.252 [8 per cell]
Sc: 0.000 0.500 0.000 [2 per cell]

V in Å³ per atom: 31.19
Electronic total energy in eV for the cell shown: -114.0



Repeat the second record exactly.
# La4Dy2ErSc

A relaxed La4Dy2ErSc crystal (PBE-GGA, Alexandria via LeMat-Bulk).

a = 5.202 Å, b = 5.217 Å, c = 9.735 Å
α = 90.00°, β = 90.00°, γ = 90.00°
Space group Pmmm (No. 47)
Symmetry-distinct sites (fractional):
La: 0.000 0.000 0.245 [2 per cell]
La: 0.500 0.500 0.246 [2 per cell]
Dy: 0.000 0.500 0.000 [1 per cell]
Dy: 0.500 0.000 0.500 [1 per cell]
Er: 0.000 0.500 0.500 [1 per cell]
Sc: 0.500 0.000 0.000 [1 per cell]

V in Å³ per atom: 33.03
Electronic total energy in eV for the cell shown: -39.5